Here is a relaxed SrPr2BiO6 crystal from the Alexandria database. Energies are from PBE-GGA.

Computed properties:
VASP energy   -69.89 eV/cell
DOS at the Fermi energy   0.31 states/eV/atom
ΔE_f (raw)   -2.50 eV per atom

The structure in POSCAR format:
```
SrPr2BiO6
1.0
3.0758 1.7758 5.2797
-3.0758 1.7758 5.2797
0.0000 -3.5516 5.2797
Sr Pr Bi O
1 2 1 6
direct
0.0000 0.0000 0.0000
0.2728 0.2728 0.2728
0.7763 0.7763 0.7763
0.4870 0.4870 0.4870
0.1091 0.6567 0.4019
0.1896 0.5874 0.8713
0.4019 0.1091 0.6567
0.5874 0.8713 0.1896
0.6567 0.4019 0.1091
0.8713 0.1896 0.5874
```


Here is a relaxed InReTc crystal from the Alexandria database. Energies are from PBE-GGA.

Computed properties:
VASP energy   -23.71 eV/cell
DOS at the Fermi energy   0.98 states/eV/atom
Calculated formation energy   1.847 eV per formula unit

The structure in POSCAR format:
```
InReTc
1.0
0.0000 3.0617 3.0617
3.0617 0.0000 3.0617
3.0617 3.0617 0.0000
In Re Tc
1 1 1
direct
0.0000 0.0000 0.0000
0.5000 0.5000 0.5000
0.7500 0.7500 0.7500
```